<one>
# ScNbSeN2 (PBE-GGA, optimized geometry)
data_ScNbSeN2
_chemical_formula_sum 'Sc1 Nb1 Se1 N2'
_symmetry_space_group_name_H-M 'P 4/m m m'
_symmetry_Int_Tables_number 123
_symmetry_space_group_name_Hall '-P 4 2'
_cell_length_a 4.0228
_cell_length_b 4.0228
_cell_length_c 5.1016
_cell_angle_alpha 90.00
_cell_angle_beta 90.00
_cell_angle_gamma 90.00
loop_
_atom_site_label
_atom_site_type_symbol
_atom_site_fract_x
_atom_site_fract_y
_atom_site_fract_z
Sc1 Sc 0.0000 0.0000 0.0000
Nb1 Nb 0.5000 0.5000 0.5000
Se1 Se 0.0000 0.0000 0.5000
N1 N 0.0000 0.5000 0.0000
# Magnetization in μB/cell: 0.01
# DOS(E_F) in states/eV/cell: 6.541

<two>
# ScNbSeN2 (PBE-GGA, optimized geometry)
data_ScNbSeN2
_chemical_formula_sum 'Sc1 Nb1 Se1 N2'
_symmetry_space_group_name_H-M 'P 4/m m m'
_symmetry_Int_Tables_number 123
_symmetry_space_group_name_Hall '-P 4 2'
_cell_length_a 4.0285
_cell_length_b 4.0285
_cell_length_c 5.2190
_cell_angle_alpha 90.00
_cell_angle_beta 90.00
_cell_angle_gamma 90.00
loop_
_atom_site_label
_atom_site_type_symbol
_atom_site_fract_x
_atom_site_fract_y
_atom_site_fract_z
Sc1 Sc 0.0000 0.0000 0.0000
Nb1 Nb 0.5000 0.5000 0.5000
Se1 Se 0.5000 0.5000 0.0000
N1 N 0.0000 0.5000 0.5000
# Magnetization in μB/cell: 0.00
# DOS(E_F) in states/eV/cell: 2.340

Which structure loses on stability? <one> does.

<one>
# NbSe2N2 (PBE-GGA, optimized geometry)
data_NbSe2N2
_chemical_formula_sum 'Nb2 Se4 N4'
_symmetry_space_group_name_H-M 'P 4/m b m'
_symmetry_Int_Tables_number 127
_symmetry_space_group_name_Hall '-P 4 2ab'
_cell_length_a 7.0357
_cell_length_b 7.0357
_cell_length_c 3.2580
_cell_angle_alpha 90.00
_cell_angle_beta 90.00
_cell_angle_gamma 90.00
loop_
_atom_site_label
_atom_site_type_symbol
_atom_site_fract_x
_atom_site_fract_y
_atom_site_fract_z
Nb1 Nb 0.0000 0.0000 0.0000
Se1 Se 0.1596 0.3404 0.0000
N1 N 0.2309 0.7309 0.5000
# Magnetization in μB/cell: 2.15
# DOS(E_F) in states/eV/cell: 7.501

<two>
# NbSe2N2 (PBE-GGA, optimized geometry)
data_NbSe2N2
_chemical_formula_sum 'Nb1 Se2 N2'
_symmetry_space_group_name_H-M 'P 4/m m m'
_symmetry_Int_Tables_number 123
_symmetry_space_group_name_Hall '-P 4 2'
_cell_length_a 3.9792
_cell_length_b 3.9792
_cell_length_c 5.7755
_cell_angle_alpha 90.00
_cell_angle_beta 90.00
_cell_angle_gamma 90.00
loop_
_atom_site_label
_atom_site_type_symbol
_atom_site_fract_x
_atom_site_fract_y
_atom_site_fract_z
Nb1 Nb 0.0000 0.0000 0.0000
Se1 Se 0.0000 0.0000 0.5000
Se2 Se 0.5000 0.5000 0.5000
N1 N 0.0000 0.5000 0.0000
# Magnetization in μB/cell: 0.95
# DOS(E_F) in states/eV/cell: 4.072

<three>
# NbSe2N2 (PBE-GGA, optimized geometry)
data_NbSe2N2
_chemical_formula_sum 'Nb1 Se2 N2'
_symmetry_space_group_name_H-M 'P 4/m m m'
_symmetry_Int_Tables_number 123
_symmetry_space_group_name_Hall '-P 4 2'
_cell_length_a 5.1484
_cell_length_b 5.1484
_cell_length_c 3.9826
_cell_angle_alpha 90.00
_cell_angle_beta 90.00
_cell_angle_gamma 90.00
loop_
_atom_site_label
_atom_site_type_symbol
_atom_site_fract_x
_atom_site_fract_y
_atom_site_fract_z
Nb1 Nb 0.0000 0.0000 0.0000
Se1 Se 0.0000 0.5000 0.0000
N1 N 0.0000 0.0000 0.5000
N2 N 0.5000 0.5000 0.5000
# Magnetization in μB/cell: 1.20
# DOS(E_F) in states/eV/cell: 4.033

<four>
# NbSe2N2 (PBE-GGA, optimized geometry)
data_NbSe2N2
_chemical_formula_sum 'Nb1 Se2 N2'
_symmetry_space_group_name_H-M 'P 4/m m m'
_symmetry_Int_Tables_number 123
_symmetry_space_group_name_Hall '-P 4 2'
_cell_length_a 4.3419
_cell_length_b 4.3419
_cell_length_c 3.6142
_cell_angle_alpha 90.00
_cell_angle_beta 90.00
_cell_angle_gamma 90.00
loop_
_atom_site_label
_atom_site_type_symbol
_atom_site_fract_x
_atom_site_fract_y
_atom_site_fract_z
Nb1 Nb 0.0000 0.0000 0.0000
Se1 Se 0.0000 0.5000 0.5000
N1 N 0.5000 0.5000 0.0000
N2 N 0.5000 0.5000 0.5000
# Magnetization in μB/cell: 0.00
# DOS(E_F) in states/eV/cell: 1.956

Which structure loses on stability? <four> does.

<one>
# NbSe2N2 (PBE-GGA, optimized geometry)
data_NbSe2N2
_chemical_formula_sum 'Nb1 Se2 N2'
_symmetry_space_group_name_H-M 'P 4/m m m'
_symmetry_Int_Tables_number 123
_symmetry_space_group_name_Hall '-P 4 2'
_cell_length_a 3.8737
_cell_length_b 3.8737
_cell_length_c 4.9244
_cell_angle_alpha 90.00
_cell_angle_beta 90.00
_cell_angle_gamma 90.00
loop_
_atom_site_label
_atom_site_type_symbol
_atom_site_fract_x
_atom_site_fract_y
_atom_site_fract_z
Nb1 Nb 0.0000 0.0000 0.0000
Se1 Se 0.5000 0.5000 0.0000
Se2 Se 0.5000 0.5000 0.5000
N1 N 0.0000 0.5000 0.5000
# Magnetization in μB/cell: 0.00
# DOS(E_F) in states/eV/cell: 4.814

<two>
# NbSe2N2 (PBE-GGA, optimized geometry)
data_NbSe2N2
_chemical_formula_sum 'Nb2 Se4 N4'
_symmetry_space_group_name_H-M 'I 4/m m m'
_symmetry_Int_Tables_number 139
_symmetry_space_group_name_Hall '-I 4 2'
_cell_length_a 3.6659
_cell_length_b 3.6659
_cell_length_c 10.2324
_cell_angle_alpha 90.00
_cell_angle_beta 90.00
_cell_angle_gamma 90.00
loop_
_atom_site_label
_atom_site_type_symbol
_atom_site_fract_x
_atom_site_fract_y
_atom_site_fract_z
Nb1 Nb 0.0000 0.0000 0.0000
Se1 Se 0.0000 0.0000 0.3562
N1 N 0.0000 0.5000 0.2500
# Magnetization in μB/cell: 0.00
# DOS(E_F) in states/eV/cell: 9.003

Which structure loses on stability? <two> does.

<one>
# NbSe3N (PBE-GGA, optimized geometry)
data_NbSe3N
_chemical_formula_sum 'Nb1 Se3 N1'
_symmetry_space_group_name_H-M 'P m -3 m'
_symmetry_Int_Tables_number 221
_symmetry_space_group_name_Hall '-P 4 2 3'
_cell_length_a 4.3582
_cell_length_b 4.3582
_cell_length_c 4.3582
_cell_angle_alpha 90.00
_cell_angle_beta 90.00
_cell_angle_gamma 90.00
loop_
_atom_site_label
_atom_site_type_symbol
_atom_site_fract_x
_atom_site_fract_y
_atom_site_fract_z
Nb1 Nb 0.0000 0.0000 0.0000
Se1 Se 0.0000 0.5000 0.5000
N1 N 0.5000 0.5000 0.5000
# Magnetization in μB/cell: 0.00
# DOS(E_F) in states/eV/cell: 5.557

<two>
# NbSe3N (PBE-GGA, optimized geometry)
data_NbSe3N
_chemical_formula_sum 'Nb1 Se3 N1'
_symmetry_space_group_name_H-M 'P m -3 m'
_symmetry_Int_Tables_number 221
_symmetry_space_group_name_Hall '-P 4 2 3'
_cell_length_a 5.0588
_cell_length_b 5.0588
_cell_length_c 5.0588
_cell_angle_alpha 90.00
_cell_angle_beta 90.00
_cell_angle_gamma 90.00
loop_
_atom_site_label
_atom_site_type_symbol
_atom_site_fract_x
_atom_site_fract_y
_atom_site_fract_z
Nb1 Nb 0.0000 0.0000 0.0000
Se1 Se 0.0000 0.0000 0.5000
N1 N 0.5000 0.5000 0.5000
# Magnetization in μB/cell: 2.96
# DOS(E_F) in states/eV/cell: 2.217

Which structure loses on stability? <two> does.

<one>
# NbSnSe2N (PBE-GGA, optimized geometry)
data_NbSnSe2N
_chemical_formula_sum 'Nb1 Sn1 Se2 N1'
_symmetry_space_group_name_H-M 'P 4/m m m'
_symmetry_Int_Tables_number 123
_symmetry_space_group_name_Hall '-P 4 2'
_cell_length_a 5.2460
_cell_length_b 5.2460
_cell_length_c 3.8453
_cell_angle_alpha 90.00
_cell_angle_beta 90.00
_cell_angle_gamma 90.00
loop_
_atom_site_label
_atom_site_type_symbol
_atom_site_fract_x
_atom_site_fract_y
_atom_site_fract_z
Nb1 Nb 0.0000 0.0000 0.0000
Sn1 Sn 0.5000 0.5000 0.5000
Se1 Se 0.0000 0.5000 0.5000
N1 N 0.5000 0.5000 0.0000
# Magnetization in μB/cell: 1.92
# DOS(E_F) in states/eV/cell: 3.672

<two>
# NbSnSe2N (PBE-GGA, optimized geometry)
data_NbSnSe2N
_chemical_formula_sum 'Nb1 Sn1 Se2 N1'
_symmetry_space_group_name_H-M 'P 4/m m m'
_symmetry_Int_Tables_number 123
_symmetry_space_group_name_Hall '-P 4 2'
_cell_length_a 5.2625
_cell_length_b 5.2625
_cell_length_c 3.9300
_cell_angle_alpha 90.00
_cell_angle_beta 90.00
_cell_angle_gamma 90.00
loop_
_atom_site_label
_atom_site_type_symbol
_atom_site_fract_x
_atom_site_fract_y
_atom_site_fract_z
Nb1 Nb 0.0000 0.0000 0.0000
Sn1 Sn 0.5000 0.5000 0.5000
Se1 Se 0.0000 0.5000 0.0000
N1 N 0.0000 0.0000 0.5000
# Magnetization in μB/cell: 0.00
# DOS(E_F) in states/eV/cell: 1.934

Which structure loses on stability? <one> does.

<one>
# TaNbSeN2 (PBE-GGA, optimized geometry)
data_TaNbSeN2
_chemical_formula_sum 'Ta1 Nb1 Se1 N2'
_symmetry_space_group_name_H-M 'P 4/m m m'
_symmetry_Int_Tables_number 123
_symmetry_space_group_name_Hall '-P 4 2'
_cell_length_a 4.0215
_cell_length_b 4.0215
_cell_length_c 5.1503
_cell_angle_alpha 90.00
_cell_angle_beta 90.00
_cell_angle_gamma 90.00
loop_
_atom_site_label
_atom_site_type_symbol
_atom_site_fract_x
_atom_site_fract_y
_atom_site_fract_z
Ta1 Ta 0.0000 0.0000 0.0000
Nb1 Nb 0.5000 0.5000 0.5000
Se1 Se 0.0000 0.0000 0.5000
N1 N 0.0000 0.5000 0.0000
# Magnetization in μB/cell: 1.99
# DOS(E_F) in states/eV/cell: 4.538

<two>
# TaNbSeN2 (PBE-GGA, optimized geometry)
data_TaNbSeN2
_chemical_formula_sum 'Ta1 Nb1 Se1 N2'
_symmetry_space_group_name_H-M 'P 4/m m m'
_symmetry_Int_Tables_number 123
_symmetry_space_group_name_Hall '-P 4 2'
_cell_length_a 3.9950
_cell_length_b 3.9950
_cell_length_c 5.1200
_cell_angle_alpha 90.00
_cell_angle_beta 90.00
_cell_angle_gamma 90.00
loop_
_atom_site_label
_atom_site_type_symbol
_atom_site_fract_x
_atom_site_fract_y
_atom_site_fract_z
Ta1 Ta 0.0000 0.0000 0.0000
Nb1 Nb 0.5000 0.5000 0.5000
Se1 Se 0.5000 0.5000 0.0000
N1 N 0.0000 0.5000 0.5000
# Magnetization in μB/cell: 0.00
# DOS(E_F) in states/eV/cell: 5.325

Which structure loses on stability? <two> does.

<one>
# NbTcSeN2 (PBE-GGA, optimized geometry)
data_NbTcSeN2
_chemical_formula_sum 'Nb1 Tc1 Se1 N2'
_symmetry_space_group_name_H-M 'P 4/m m m'
_symmetry_Int_Tables_number 123
_symmetry_space_group_name_Hall '-P 4 2'
_cell_length_a 4.0024
_cell_length_b 4.0024
_cell_length_c 5.4582
_cell_angle_alpha 90.00
_cell_angle_beta 90.00
_cell_angle_gamma 90.00
loop_
_atom_site_label
_atom_site_type_symbol
_atom_site_fract_x
_atom_site_fract_y
_atom_site_fract_z
Nb1 Nb 0.0000 0.0000 0.0000
Tc1 Tc 0.5000 0.5000 0.5000
Se1 Se 0.0000 0.0000 0.5000
N1 N 0.0000 0.5000 0.0000
# Magnetization in μB/cell: 3.95
# DOS(E_F) in states/eV/cell: 2.921

<two>
# NbTcSeN2 (PBE-GGA, optimized geometry)
data_NbTcSeN2
_chemical_formula_sum 'Nb1 Tc1 Se1 N2'
_symmetry_space_group_name_H-M 'P 4/m m m'
_symmetry_Int_Tables_number 123
_symmetry_space_group_name_Hall '-P 4 2'
_cell_length_a 3.8517
_cell_length_b 3.8517
_cell_length_c 5.2587
_cell_angle_alpha 90.00
_cell_angle_beta 90.00
_cell_angle_gamma 90.00
loop_
_atom_site_label
_atom_site_type_symbol
_atom_site_fract_x
_atom_site_fract_y
_atom_site_fract_z
Nb1 Nb 0.0000 0.0000 0.0000
Tc1 Tc 0.5000 0.5000 0.5000
Se1 Se 0.5000 0.5000 0.0000
N1 N 0.0000 0.5000 0.5000
# Magnetization in μB/cell: 1.80
# DOS(E_F) in states/eV/cell: 5.361

Which structure loses on stability? <one> does.

<one>
# NbTeSeN2 (PBE-GGA, optimized geometry)
data_NbTeSeN2
_chemical_formula_sum 'Nb1 Te1 Se1 N2'
_symmetry_space_group_name_H-M 'P 4/m m m'
_symmetry_Int_Tables_number 123
_symmetry_space_group_name_Hall '-P 4 2'
_cell_length_a 4.0833
_cell_length_b 4.0833
_cell_length_c 5.5382
_cell_angle_alpha 90.00
_cell_angle_beta 90.00
_cell_angle_gamma 90.00
loop_
_atom_site_label
_atom_site_type_symbol
_atom_site_fract_x
_atom_site_fract_y
_atom_site_fract_z
Nb1 Nb 0.0000 0.0000 0.0000
Te1 Te 0.5000 0.5000 0.5000
Se1 Se 0.0000 0.0000 0.5000
N1 N 0.0000 0.5000 0.0000
# Magnetization in μB/cell: 0.11
# DOS(E_F) in states/eV/cell: 2.612

<two>
# NbTeSeN2 (PBE-GGA, optimized geometry)
data_NbTeSeN2
_chemical_formula_sum 'Nb1 Te1 Se1 N2'
_symmetry_space_group_name_H-M 'P 4/m m m'
_symmetry_Int_Tables_number 123
_symmetry_space_group_name_Hall '-P 4 2'
_cell_length_a 3.9642
_cell_length_b 3.9642
_cell_length_c 5.3743
_cell_angle_alpha 90.00
_cell_angle_beta 90.00
_cell_angle_gamma 90.00
loop_
_atom_site_label
_atom_site_type_symbol
_atom_site_fract_x
_atom_site_fract_y
_atom_site_fract_z
Nb1 Nb 0.0000 0.0000 0.0000
Te1 Te 0.5000 0.5000 0.0000
Se1 Se 0.5000 0.5000 0.5000
N1 N 0.0000 0.5000 0.5000
# Magnetization in μB/cell: 0.00
# DOS(E_F) in states/eV/cell: 4.552

Which structure loses on stability? <two> does.